BaGa2SnSe6 | PBE-GGA | optimized geometry

Summary:
As for the uncorrected formation energy: -18.37 kcal/mol of atoms. Its space group is C2/c. As for the raw total energy: -4.085 eV per atom. The total moment comes out at 0.0 μB per formula unit.

Lattice parameters (Å, degrees): 9.7085 9.7085 7.3377 106.86 106.86 88.60
Atoms (fractional coordinates):
Ba: 0.1603 0.8397 0.7500
Ba: 0.8397 0.1603 0.2500
Ga: 0.1398 0.3085 0.8302
Ga: 0.3085 0.1398 0.3302
Ga: 0.6915 0.8602 0.6698
Ga: 0.8602 0.6915 0.1698
Sn: 0.3199 0.6801 0.2500
Sn: 0.6801 0.3199 0.7500
Se: 0.0917 0.5963 0.3124
Se: 0.1087 0.1718 0.0449
Se: 0.1718 0.1087 0.5449
Se: 0.3118 0.5072 0.9024
Se: 0.4037 0.9083 0.1876
Se: 0.4928 0.6882 0.5976
Se: 0.5072 0.3118 0.4024
Se: 0.5963 0.0917 0.8124
Se: 0.6882 0.4928 0.0976
Se: 0.8282 0.8913 0.4551
Se: 0.8913 0.8282 0.9551
Se: 0.9083 0.4037 0.6876

***

Ba2TbGaSe5 | PBE-GGA | optimized geometry

Summary:
As for the uncorrected formation energy: -37.99 kcal/mol of atoms. Its space group is Cmc2_1. As for the raw total energy: -4.861 eV per atom. The total moment comes out at 0.0 μB per formula unit.

Lattice parameters (Å, degrees): 9.8358 9.8358 13.4747 90.00 90.00 155.13
Atoms (fractional coordinates):
Ba: 0.1212 0.8788 0.5000
Ba: 0.1266 0.8734 0.1401
Ba: 0.8734 0.1266 0.6401
Ba: 0.8788 0.1212 0.0000
Tb: 0.2049 0.7951 0.8404
Tb: 0.7951 0.2049 0.3404
Ga: 0.4403 0.5597 0.2420
Ga: 0.5597 0.4403 0.7420
Se: 0.0457 0.9543 0.8454
Se: 0.2969 0.7031 0.4817
Se: 0.3155 0.6845 0.1891
Se: 0.3490 0.6510 0.8218
Se: 0.5002 0.4998 0.0870
Se: 0.4998 0.5002 0.5870
Se: 0.6510 0.3490 0.3218
Se: 0.6845 0.3155 0.6891
Se: 0.7031 0.2969 0.9817
Se: 0.9543 0.0457 0.3454

***

BaGa2TeSe6 | PBE-GGA | optimized geometry

Summary:
As for the uncorrected formation energy: -14.26 kcal/mol of atoms. Its space group is C2/c. As for the raw total energy: -3.821 eV per atom. The total moment comes out at 0.0 μB per formula unit.

Lattice parameters (Å, degrees): 9.3126 9.3126 8.3562 112.09 112.09 71.07
Atoms (fractional coordinates):
Ba: 0.2178 0.7822 0.7500
Ba: 0.7822 0.2178 0.2500
Ga: 0.1974 0.3625 0.8540
Ga: 0.3625 0.1974 0.3540
Ga: 0.6375 0.8026 0.6460
Ga: 0.8026 0.6375 0.1460
Te: 0.2430 0.7570 0.2500
Te: 0.7570 0.2430 0.7500
Se: 0.0223 0.1724 0.6574
Se: 0.0496 0.6344 0.9059
Se: 0.1724 0.0223 0.1574
Se: 0.3384 0.3774 0.6529
Se: 0.3656 0.9504 0.5941
Se: 0.3774 0.3384 0.1529
Se: 0.6226 0.6616 0.8471
Se: 0.6344 0.0496 0.4059
Se: 0.6616 0.6226 0.3471
Se: 0.8276 0.9777 0.8426
Se: 0.9504 0.3656 0.0941
Se: 0.9777 0.8276 0.3426